## one
# TiBiCl2

A relaxed TiBiCl2 crystal (PBE, Alexandria).

abc: 11.318 11.318 11.318
angles: 16.68 16.68 16.68
Positions (direct):
Bi: 0.000 0.000 0.000
Cl: 0.119 0.119 0.119
Ti: 0.500 0.500 0.500
Cl: 0.881 0.881 0.881

Values from the calculation:
As for the space group: No. 166.

=====

## two
# TiBiCl2

A relaxed TiBiCl2 crystal (PBE, Alexandria).

abc: 8.116 8.116 6.466
angles: 51.13 51.13 90.00
Site moments in Bohr magnetons follow the coordinates.
Positions (direct):
Cl: 0.875 0.761 0.750  -0.02
Cl: 0.375 0.489 0.750  -0.03
Ti: 0.500 0.500 0.000  0.95
Bi: 0.000 0.000 0.000  -0.07
Ti: 0.250 0.750 0.500  0.98
Cl: 0.239 0.625 0.250  -0.03
Cl: 0.511 0.125 0.250  -0.03
Bi: 0.750 0.250 0.500  -0.06

Values from the calculation:
As for the space group: No. 122.

=====

We find one to be the most stable, with the next structure 36.5 kJ/mol of atoms higher.